Entry from the Alexandria database: a relaxed Dy4Ir3Pt crystal (PBE).

POSCAR file:
```
Dy4Ir3Pt
1.0
3.338 0.000 0.000
0.000 4.944 0.000
0.000 0.000 9.879
Dy Ir Pt
4 3 1
Cartesian
0.000 2.472 7.378
0.000 0.000 0.000
0.000 2.472 2.501
0.000 0.000 4.939
1.669 0.000 2.472
1.669 2.472 4.939
1.669 0.000 7.407
1.669 2.472 0.000
```

Values from the calculation:
E_form: -0.921 eV/atom
total magnetization: 0.0 μB/cell


Entry from the Alexandria database: a relaxed Pm4Er4In crystal (PBE).

POSCAR file:
```
Pm4Er4In
1.0
4.937 0.000 0.000
2.469 7.538 0.000
2.469 0.000 7.538
Er Pm In
4 4 1
Cartesian
4.937 0.000 5.112
4.937 7.538 2.426
7.406 5.112 7.538
2.469 2.426 0.000
7.406 2.505 5.034
2.469 5.034 2.504
4.937 2.504 2.505
4.937 5.034 5.034
0.000 0.000 0.000
```

Values from the calculation:
E_form: -0.076 eV/atom
total magnetization: 0.0 μB/cell


Entry from the Alexandria database: a relaxed KY3F crystal (PBE).

POSCAR file:
```
KY3F
1.0
5.674 0.000 0.000
0.000 5.674 0.000
0.000 0.000 5.674
K Y F
1 3 1
Cartesian
0.000 0.000 0.000
0.000 0.000 2.837
0.000 2.837 0.000
2.837 0.000 0.000
2.837 2.837 2.837
```

Values from the calculation:
total magnetization: 0.0 μB/cell
excess energy over the best structure of this formula in the dataset: 1560 meV per atom
formation energy (no corrections): 5.624 eV per formula unit